[1]
Material: Tb2Er3TmSb6
Method: DFT, PBE
State: optimized geometry

Summary:
Space group: C2/m (12)
E_form (uncorrected) in eV per formula unit: -13.3
N(E_F) in states/eV/atom: 0.16
Total magnetization in μB per formula unit: 0.000

The structure in POSCAR format:
```
Tb2Er3TmSb6
1.0
-0.9755 0.4068 -4.2350
-7.6371 -4.0009 1.3749
-1.5933 8.9788 3.4788
Er Tb Sb Tm
3 2 6 1
Cartesian
-4.3063 -1.7971 -1.4300
-7.0620 -0.2627 1.6015
-3.1439 5.6474 -0.9827
-6.9710 3.6621 -0.2919
-3.2350 1.7227 0.9106
-1.7941 2.9318 -1.5545
-5.6474 0.9100 -0.8611
-4.5586 4.4747 1.4799
-4.4625 8.3706 -0.4174
-5.7434 -2.9858 1.0362
-8.4118 2.4529 2.1733
-0.4878 0.2034 -2.1175
```

***

[2]
Material: Zr2PPd2
Method: DFT, PBE
State: optimized geometry

Summary:
Space group: P4/mbm (127)
N(E_F) in states/eV/atom: 0.61
Total magnetization in μB per formula unit: 0.000
E_form in kJ/mol of formula units: -267

The structure in POSCAR format:
```
Zr2PPd2
1.0
7.1067 0.0000 0.0000
0.0000 7.1067 0.0000
0.0000 0.0000 3.8327
Pd Zr P
4 4 2
Cartesian
6.1646 2.6113 1.9163
4.4954 6.1646 1.9163
0.9421 4.4954 1.9163
2.6113 0.9421 1.9163
2.3605 5.9139 0.0000
5.9139 4.7462 0.0000
4.7462 1.1928 0.0000
1.1928 2.3605 0.0000
3.5533 3.5533 0.0000
0.0000 0.0000 0.0000
```

***

[3]
Material: MgGa2
Method: DFT, PBE
State: optimized geometry

Summary:
Space group: I4/mmm (139)
N(E_F) in states/eV/atom: 0.38
Total magnetization in μB per formula unit: 0.000
E_form in kJ/mol of formula units: -23

The structure in POSCAR format:
```
MgGa2
1.0
-2.4609 0.9655 -1.8053
-2.0029 -1.7197 1.8106
1.4855 4.8190 3.3903
Mg Ga
1 2
Cartesian
0.0000 0.0000 0.0000
-0.4883 2.9058 2.2197
-2.4900 1.1589 1.1760
```

***

Look up the N(E_F) of the second one. 0.61 states/eV/atom

***

The lowest N(E_F) belongs to which entry? Tb2Er3TmSb6

***

Look up the total magnetization of the first one. 0.000 μB per formula unit

***

What is the N(E_F) in the second record? 0.61 states/eV/atom